# 1
Entry from Alexandria: Li4Ho3ErSe8 after structural relaxation (PBE).

Density (g/cm3): 5.95
Energy relative to the elements, uncorrected (eV per atom): -1.70
Density of states at the Fermi level (states/eV/cell): 0.000
Volume (Å³/f.u.): 368.8

Lattice parameters (Å, degrees): 8.0988 8.0988 19.4769 90.00 90.00 120.00
Closest atoms and distances in Å follow each position.
Space group R-3m (No. 166, hexagonal axes)
Unique sites:
Li 0.0000 0.0000 0.0000 [3 per cell]  6 Se 2.84
Li 0.0000 0.5000 0.0000 [9 per cell]  6 Se 2.84
Ho 0.0000 0.5000 0.5000 [9 per cell]  6 Se 2.86
Er 0.0000 0.0000 0.5000 [3 per cell]  6 Se 2.85
Se 0.0000 0.0000 0.2508 [6 per cell]  3 Li 2.84, 3 Ho 2.86
Se 0.0010 0.5005 0.2507 [18 per cell]  3 Li 2.84, 1 Er 2.85, 2 Ho 2.86


# 2
Entry from Alexandria: Li3Ho2ErSe6 after structural relaxation (PBE).

Density (g/cm3): 5.96
Energy relative to the elements, uncorrected (eV per atom): -1.70
Density of states at the Fermi level (states/eV/cell): 0.000
Volume (Å³/f.u.): 276.3

Lattice parameters (Å, degrees): 7.0102 12.1420 6.8994 90.00 109.80 90.00
Closest atoms and distances in Å follow each position.
Space group C2/m (No. 12)
Unique sites:
Li 0.0000 0.0000 0.0000 [2 per cell]  6 Se 2.83-2.84
Li 0.0000 0.3334 0.0000 [4 per cell]  6 Se 2.83-2.84
Ho 0.0000 0.1667 0.5000 [4 per cell]  6 Se 2.85-2.86
Er 0.0000 0.5000 0.5000 [2 per cell]  6 Se 2.85
Se 0.2483 0.5000 0.2481 [4 per cell]  3 Li 2.83-2.84, 1 Er 2.85, 2 Ho 2.85
Se 0.2498 0.1662 0.2479 [8 per cell]  3 Li 2.83-2.84, 1 Er 2.85, 2 Ho 2.86


# 3
Entry from Alexandria: Li2Ho3ErSe6 after structural relaxation (PBE).

Density (g/cm3): 6.94
Energy relative to the elements, uncorrected (eV per atom): -1.72
Density of states at the Fermi level (states/eV/cell): 5.274
Volume (Å³/f.u.): 274.9

Lattice parameters (Å, degrees): 6.9514 12.0367 6.9680 90.00 109.42 90.00
Closest atoms and distances in Å follow each position.
Space group C2/m (No. 12)
Unique sites:
Li 0.0000 0.1677 0.0000 [4 per cell]  6 Se 2.79-2.81
Ho 0.0000 0.0000 0.5000 [2 per cell]  6 Se 2.84-2.88
Ho 0.0000 0.3336 0.5000 [4 per cell]  6 Se 2.85-2.88
Er 0.0000 0.5000 0.0000 [2 per cell]  6 Se 2.84
Se 0.2430 0.0000 0.2427 [4 per cell]  2 Li 2.81, 1 Er 2.84, 3 Ho 2.84-2.88
Se 0.2504 0.1689 0.7581 [8 per cell]  2 Li 2.79-2.80, 1 Er 2.84, 3 Ho 2.85-2.88


# 4
Entry from Alexandria: LiHo2Er3Se6 after structural relaxation (PBE).

Density (g/cm3): 7.85
Energy relative to the elements, uncorrected (eV per atom): -1.72
Density of states at the Fermi level (states/eV/cell): 6.953
Volume (Å³/f.u.): 277.5

Lattice parameters (Å, degrees): 17.5743 4.0273 8.0561 90.00 103.26 90.00
Closest atoms and distances in Å follow each position.
Space group C2/m (No. 12)
Unique sites:
Li 0.0000 0.0000 0.0000 [2 per cell]  6 Se 2.80-2.81
Ho 0.1689 0.5000 0.3399 [4 per cell]  6 Se 2.83-2.89
Er 0.0000 0.0000 0.5000 [2 per cell]  6 Se 2.82-2.89
Er 0.1666 0.5000 0.8290 [4 per cell]  6 Se 2.81-2.90
Se 0.0004 0.5000 0.2434 [4 per cell]  2 Li 2.81, 3 Er 2.86-2.89, 1 Ho 2.88
Se 0.1637 0.0000 0.0799 [4 per cell]  1 Li 2.80, 3 Er 2.86-2.90, 2 Ho 2.89
Se 0.1646 0.0000 0.5848 [4 per cell]  3 Er 2.81-2.82, 3 Ho 2.83-2.85


- Which formula does entry 4 have?
  LiHo2Er3Se6


- The lowest volume belongs to which entry?
  Li2Ho3ErSe6


- Among the records above, which one has the lowest density?
  Li4Ho3ErSe8